# LaTlCd2 GGA-PBE relaxed
data_LaTlCd2
_chemical_formula_sum 'La1 Tl1 Cd2'
_symmetry_space_group_name_H-M 'P m m m'
_symmetry_Int_Tables_number 47
_symmetry_space_group_name_Hall '-P 2 2'
_cell_length_a 3.8525
_cell_length_b 4.1201
_cell_length_c 7.1383
_cell_angle_alpha 90.00
_cell_angle_beta 90.00
_cell_angle_gamma 90.00
loop_
_atom_site_label
_atom_site_type_symbol
_atom_site_fract_x
_atom_site_fract_y
_atom_site_fract_z
La1 La 0.0000 0.0000 0.0000
Tl1 Tl 0.0000 0.0000 0.5000
Cd1 Cd 0.5000 0.5000 0.2657
# Total magnetization = 0.379 μB per formula unit

***

# Sb3WC GGA-PBE relaxed
data_Sb3WC
_chemical_formula_sum 'Sb3 W1 C1'
_symmetry_space_group_name_H-M 'P m -3 m'
_symmetry_Int_Tables_number 221
_symmetry_space_group_name_Hall '-P 4 2 3'
_cell_length_a 5.2168
_cell_length_b 5.2168
_cell_length_c 5.2168
_cell_angle_alpha 90.00
_cell_angle_beta 90.00
_cell_angle_gamma 90.00
loop_
_atom_site_label
_atom_site_type_symbol
_atom_site_fract_x
_atom_site_fract_y
_atom_site_fract_z
Sb1 Sb 0.0000 0.0000 0.5000
W1 W 0.0000 0.0000 0.0000
C1 C 0.5000 0.5000 0.5000
# Distance to the lowest polymorph of the same formula = 1.71 eV/f.u.
# Energy relative to the elements, uncorrected = 1.800 eV/atom
# Total magnetization = 1.613 μB per formula unit

***

# GdSbS2 GGA-PBE relaxed
data_GdSbS2
_chemical_formula_sum 'Gd3 Sb3 S6'
_symmetry_space_group_name_H-M 'R -3 m'
_symmetry_Int_Tables_number 166
_symmetry_space_group_name_Hall '-R 3 2"'
_cell_length_a 3.9907
_cell_length_b 3.9907
_cell_length_c 25.3138
_cell_angle_alpha 90.00
_cell_angle_beta 90.00
_cell_angle_gamma 120.00
loop_
_atom_site_label
_atom_site_type_symbol
_atom_site_fract_x
_atom_site_fract_y
_atom_site_fract_z
Gd1 Gd 0.0000 0.0000 0.0000
Sb1 Sb 0.0000 0.0000 0.5000
S1 S 0.0000 0.0000 0.1073
# Energy relative to the elements, uncorrected = -0.415 eV/atom
# Total magnetization = 7.040 μB per formula unit

***

# Ce3Ru2N GGA-PBE relaxed
data_Ce3Ru2N
_chemical_formula_sum 'Ce12 Ru8 N4'
_symmetry_space_group_name_H-M 'C 1 2/m 1'
_symmetry_Int_Tables_number 12
_symmetry_space_group_name_Hall '-C 2y'
_cell_length_a 6.6726
_cell_length_b 11.2557
_cell_length_c 6.7672
_cell_angle_alpha 90.00
_cell_angle_beta 109.76
_cell_angle_gamma 90.00
loop_
_atom_site_label
_atom_site_type_symbol
_atom_site_fract_x
_atom_site_fract_y
_atom_site_fract_z
Ce1 Ce 0.1972 0.0000 0.2006
Ce2 Ce 0.2481 0.3186 0.2395
Ru1 Ru 0.0000 0.0000 0.5000
Ru2 Ru 0.0000 0.3641 0.5000
Ru3 Ru 0.0000 0.5000 0.0000
N1 N 0.0000 0.1766 0.0000
# Energy relative to the elements, uncorrected = -0.552 eV/atom
# Total magnetization = 0.000 μB per formula unit

***

# Ca2TcRu GGA-PBE relaxed
data_Ca2TcRu
_chemical_formula_sum 'Ca2 Tc1 Ru1'
_symmetry_space_group_name_H-M 'P 1 m 1'
_symmetry_Int_Tables_number 6
_symmetry_space_group_name_Hall 'P -2y'
_cell_length_a 3.2584
_cell_length_b 4.1541
_cell_length_c 7.3866
_cell_angle_alpha 90.00
_cell_angle_beta 102.24
_cell_angle_gamma 90.00
loop_
_atom_site_label
_atom_site_type_symbol
_atom_site_fract_x
_atom_site_fract_y
_atom_site_fract_z
Ca1 Ca 0.0000 0.0000 0.0000
Ca2 Ca 0.3299 0.5000 0.6003
Tc1 Tc 0.7905 0.0000 0.3628
Ru1 Ru 0.5318 0.5000 0.2363
# Distance to the lowest polymorph of the same formula = 0.49 eV/f.u.
# Total magnetization = 0.000 μB per formula unit

***

# ZrPaCSe GGA-PBE relaxed
data_ZrPaCSe
_chemical_formula_sum 'Zr3 Pa3 C3 Se3'
_symmetry_space_group_name_H-M 'R 3 m'
_symmetry_Int_Tables_number 160
_symmetry_space_group_name_Hall 'R 3 -2"'
_cell_length_a 3.5155
_cell_length_b 3.5155
_cell_length_c 20.5014
_cell_angle_alpha 90.00
_cell_angle_beta 90.00
_cell_angle_gamma 120.00
loop_
_atom_site_label
_atom_site_type_symbol
_atom_site_fract_x
_atom_site_fract_y
_atom_site_fract_z
Zr1 Zr 0.0000 0.0000 0.0000
Pa1 Pa 0.0000 0.0000 0.2020
C1 C 0.0000 0.0000 0.6065
Se1 Se 0.0000 0.0000 0.4272
# Energy relative to the elements, uncorrected = -0.995 eV/atom
# Total magnetization = 0.564 μB per formula unit

***

# HfAl3Hg GGA-PBE relaxed
data_HfAl3Hg
_chemical_formula_sum 'Hf1 Al3 Hg1'
_symmetry_space_group_name_H-M 'P m -3 m'
_symmetry_Int_Tables_number 221
_symmetry_space_group_name_Hall '-P 4 2 3'
_cell_length_a 4.9254
_cell_length_b 4.9254
_cell_length_c 4.9254
_cell_angle_alpha 90.00
_cell_angle_beta 90.00
_cell_angle_gamma 90.00
loop_
_atom_site_label
_atom_site_type_symbol
_atom_site_fract_x
_atom_site_fract_y
_atom_site_fract_z
Hf1 Hf 0.0000 0.0000 0.0000
Al1 Al 0.0000 0.5000 0.5000
Hg1 Hg 0.5000 0.5000 0.5000
# Distance to the lowest polymorph of the same formula = 0.00 eV/f.u.
# Total magnetization = 0.000 μB per formula unit

***

# RbBa2Se GGA-PBE relaxed
data_RbBa2Se
_chemical_formula_sum 'Rb3 Ba6 Se3'
_symmetry_space_group_name_H-M 'R 3 m'
_symmetry_Int_Tables_number 160
_symmetry_space_group_name_Hall 'R 3 -2"'
_cell_length_a 4.6156
_cell_length_b 4.6156
_cell_length_c 37.0262
_cell_angle_alpha 90.00
_cell_angle_beta 90.00
_cell_angle_gamma 120.00
loop_
_atom_site_label
_atom_site_type_symbol
_atom_site_fract_x
_atom_site_fract_y
_atom_site_fract_z
Rb1 Rb 0.0000 0.0000 0.0000
Ba1 Ba 0.0000 0.0000 0.2186
Ba2 Ba 0.0000 0.0000 0.4482
Se1 Se 0.0000 0.0000 0.8335
# Energy relative to the elements, uncorrected = -0.911 eV/atom
# Total magnetization = 0.000 μB per formula unit

***

no.,V (Å³/atom),calculated total energy (eV/cell)
1,28.326,-9.88
2,28.395,-25.54
3,29.095,-84.35
4,19.930,-191.97
5,24.427,-22.30
6,18.286,-104.20
7,23.897,-17.00
8,56.926,-35.82